Entry 1
ScReAu | PBE | optimized geometry

Structure (CIF):
```
data_ScReAu
_space_group_name_H-M_alt 'P 1'
_space_group_IT_number 1
_cell_length_a 4.6370
_cell_length_b 4.6370
_cell_length_c 2.8867
_cell_angle_alpha 90.00
_cell_angle_beta 90.00
_cell_angle_gamma 120.00
loop_
_space_group_symop_operation_xyz
'x,y,z'
loop_
_atom_site_label
_atom_site_type_symbol
_atom_site_fract_x
_atom_site_fract_y
_atom_site_fract_z
_atom_site_occupancy
Au1 Au 0.0000 0.0000 0.1667 1
Sc1 Sc 0.3333 0.6667 0.6667 1
Re1 Re 0.6667 0.3333 0.1666 1
```

=====

Entry 2
ScReAu | PBE | optimized geometry

Structure (CIF):
```
data_ScReAu
_space_group_name_H-M_alt 'P 1'
_space_group_IT_number 1
_cell_length_a 4.4631
_cell_length_b 4.4631
_cell_length_c 4.4631
_cell_angle_alpha 60.00
_cell_angle_beta 60.00
_cell_angle_gamma 60.00
loop_
_space_group_symop_operation_xyz
'x,y,z'
loop_
_atom_site_label
_atom_site_type_symbol
_atom_site_fract_x
_atom_site_fract_y
_atom_site_fract_z
_atom_site_occupancy
Re1 Re 0.0000 0.0000 0.0000 1
Au1 Au 0.7500 0.7500 0.7500 1
Sc1 Sc 0.5000 0.5000 0.5000 1
```

=====

Entry 3
ScReAu | PBE | optimized geometry

Structure (CIF):
```
data_ScReAu
_space_group_name_H-M_alt 'P 1'
_space_group_IT_number 1
_cell_length_a 5.1671
_cell_length_b 5.1671
_cell_length_c 5.1671
_cell_angle_alpha 141.46
_cell_angle_beta 141.46
_cell_angle_gamma 55.64
loop_
_space_group_symop_operation_xyz
'x,y,z'
loop_
_atom_site_label
_atom_site_type_symbol
_atom_site_fract_x
_atom_site_fract_y
_atom_site_fract_z
_atom_site_occupancy
Au1 Au 0.9919 0.9919 0.0000 1
Re1 Re 0.3399 0.3399 0.0000 1
Sc1 Sc 0.6683 0.6683 0.0000 1
```

=====

Entry 4
ScReAu | PBE | optimized geometry

Structure (CIF):
```
data_ScReAu
_space_group_name_H-M_alt 'P 1'
_space_group_IT_number 1
_cell_length_a 2.9565
_cell_length_b 2.9565
_cell_length_c 6.9896
_cell_angle_alpha 90.00
_cell_angle_beta 90.00
_cell_angle_gamma 120.00
loop_
_space_group_symop_operation_xyz
'x,y,z'
loop_
_atom_site_label
_atom_site_type_symbol
_atom_site_fract_x
_atom_site_fract_y
_atom_site_fract_z
_atom_site_occupancy
Sc1 Sc 0.3333 0.6667 0.6604 1
Au1 Au 0.0000 0.0000 0.9995 1
Re1 Re 0.6667 0.3333 0.3400 1
```

=====

The least stable of them is entry 2.

=====

Entry 1
ReSiAu3 | PBE | optimized geometry

Structure (CIF):
```
data_ReSiAu3
_space_group_name_H-M_alt 'P 1'
_space_group_IT_number 1
_cell_length_a 4.6951
_cell_length_b 4.6951
_cell_length_c 4.6951
_cell_angle_alpha 90.00
_cell_angle_beta 90.00
_cell_angle_gamma 90.00
loop_
_space_group_symop_operation_xyz
'x,y,z'
loop_
_atom_site_label
_atom_site_type_symbol
_atom_site_fract_x
_atom_site_fract_y
_atom_site_fract_z
_atom_site_occupancy
Re1 Re 0.5000 0.5000 0.5000 1
Si1 Si 0.0000 0.0000 0.0000 1
Au1 Au 0.0000 0.5000 0.0000 1
Au2 Au 0.0000 0.0000 0.5000 1
Au3 Au 0.5000 0.0000 0.0000 1
```

=====

Entry 2
ReSiAu3 | PBE | optimized geometry

Structure (CIF):
```
data_ReSiAu3
_space_group_name_H-M_alt 'P 1'
_space_group_IT_number 1
_cell_length_a 5.0148
_cell_length_b 5.0148
_cell_length_c 5.0148
_cell_angle_alpha 90.00
_cell_angle_beta 90.00
_cell_angle_gamma 90.00
loop_
_space_group_symop_operation_xyz
'x,y,z'
loop_
_atom_site_label
_atom_site_type_symbol
_atom_site_fract_x
_atom_site_fract_y
_atom_site_fract_z
_atom_site_occupancy
Au1 Au 0.5000 0.0000 0.0000 1
Re1 Re 0.0000 0.0000 0.0000 1
Au2 Au 0.0000 0.5000 0.0000 1
Si1 Si 0.5000 0.5000 0.5000 1
Au3 Au 0.0000 0.0000 0.5000 1
```

=====

The least stable of them is entry 2.

=====

Entry 1
Re2Sn2Au | PBE | optimized geometry

Structure (CIF):
```
data_Re2Sn2Au
_space_group_name_H-M_alt 'P 1'
_space_group_IT_number 1
_cell_length_a 7.2219
_cell_length_b 7.2219
_cell_length_c 3.6157
_cell_angle_alpha 90.00
_cell_angle_beta 90.00
_cell_angle_gamma 90.00
loop_
_space_group_symop_operation_xyz
'x,y,z'
loop_
_atom_site_label
_atom_site_type_symbol
_atom_site_fract_x
_atom_site_fract_y
_atom_site_fract_z
_atom_site_occupancy
Sn1 Sn 0.3346 0.1654 0.5000 1
Sn2 Sn 0.8346 0.3346 0.5000 1
Sn3 Sn 0.1654 0.6654 0.5000 1
Re1 Re 0.1315 0.3685 0.0000 1
Re2 Re 0.3685 0.8685 0.0000 1
Re3 Re 0.6315 0.1315 0.0000 1
Sn4 Sn 0.6654 0.8346 0.5000 1
Au1 Au 0.5000 0.5000 0.0000 1
Re4 Re 0.8685 0.6315 0.0000 1
Au2 Au 0.0000 0.0000 0.0000 1
```

=====

Entry 2
Re2Sn2Au | PBE | optimized geometry

Structure (CIF):
```
data_Re2Sn2Au
_space_group_name_H-M_alt 'P 1'
_space_group_IT_number 1
_cell_length_a 4.0838
_cell_length_b 4.0838
_cell_length_c 6.7907
_cell_angle_alpha 72.50
_cell_angle_beta 72.50
_cell_angle_gamma 90.00
loop_
_space_group_symop_operation_xyz
'x,y,z'
loop_
_atom_site_label
_atom_site_type_symbol
_atom_site_fract_x
_atom_site_fract_y
_atom_site_fract_z
_atom_site_occupancy
Sn1 Sn 0.7500 0.2500 0.5000 1
Sn2 Sn 0.2500 0.7500 0.5000 1
Re1 Re 0.4038 0.4038 0.1924 1
Au1 Au 0.0000 0.0000 0.0000 1
Re2 Re 0.5962 0.5962 0.8076 1
```

=====

The least stable of them is entry 2.

=====

Entry 1
ReSn3Au | PBE | optimized geometry

Structure (CIF):
```
data_ReSn3Au
_space_group_name_H-M_alt 'P 1'
_space_group_IT_number 1
_cell_length_a 5.1720
_cell_length_b 5.1720
_cell_length_c 5.1720
_cell_angle_alpha 90.00
_cell_angle_beta 90.00
_cell_angle_gamma 90.00
loop_
_space_group_symop_operation_xyz
'x,y,z'
loop_
_atom_site_label
_atom_site_type_symbol
_atom_site_fract_x
_atom_site_fract_y
_atom_site_fract_z
_atom_site_occupancy
Sn1 Sn 0.0000 0.5000 0.0000 1
Sn2 Sn 0.5000 0.0000 0.0000 1
Sn3 Sn 0.0000 0.0000 0.5000 1
Au1 Au 0.5000 0.5000 0.5000 1
Re1 Re 0.0000 0.0000 0.0000 1
```

=====

Entry 2
ReSn3Au | PBE | optimized geometry

Structure (CIF):
```
data_ReSn3Au
_space_group_name_H-M_alt 'P 1'
_space_group_IT_number 1
_cell_length_a 5.2829
_cell_length_b 5.2829
_cell_length_c 5.2829
_cell_angle_alpha 90.00
_cell_angle_beta 90.00
_cell_angle_gamma 90.00
loop_
_space_group_symop_operation_xyz
'x,y,z'
loop_
_atom_site_label
_atom_site_type_symbol
_atom_site_fract_x
_atom_site_fract_y
_atom_site_fract_z
_atom_site_occupancy
Sn1 Sn 0.5000 0.0000 0.0000 1
Sn2 Sn 0.0000 0.0000 0.5000 1
Sn3 Sn 0.0000 0.5000 0.0000 1
Re1 Re 0.5000 0.5000 0.5000 1
Au1 Au 0.0000 0.0000 0.0000 1
```

=====

The least stable of them is entry 2.

=====

Entry 1
Sr2ReAu | PBE | optimized geometry

Structure (CIF):
```
data_Sr2ReAu
_space_group_name_H-M_alt 'P 1'
_space_group_IT_number 1
_cell_length_a 4.6321
_cell_length_b 4.7328
_cell_length_c 5.9958
_cell_angle_alpha 66.73
_cell_angle_beta 90.00
_cell_angle_gamma 90.00
loop_
_space_group_symop_operation_xyz
'x,y,z'
loop_
_atom_site_label
_atom_site_type_symbol
_atom_site_fract_x
_atom_site_fract_y
_atom_site_fract_z
_atom_site_occupancy
Au1 Au 0.0000 0.6744 0.5262 1
Sr1 Sr 0.5000 0.2710 0.3329 1
Sr2 Sr 0.0000 0.9768 0.9214 1
Re1 Re 0.5000 0.5778 0.7196 1
```

=====

Entry 2
Sr2ReAu | PBE | optimized geometry

Structure (CIF):
```
data_Sr2ReAu
_space_group_name_H-M_alt 'P 1'
_space_group_IT_number 1
_cell_length_a 8.5607
_cell_length_b 5.5407
_cell_length_c 3.4430
_cell_angle_alpha 89.99
_cell_angle_beta 66.30
_cell_angle_gamma 130.37
loop_
_space_group_symop_operation_xyz
'x,y,z'
loop_
_atom_site_label
_atom_site_type_symbol
_atom_site_fract_x
_atom_site_fract_y
_atom_site_fract_z
_atom_site_occupancy
Sr1 Sr 0.5000 0.0000 0.5000 1
Re1 Re 0.5000 0.5000 0.0000 1
Sr2 Sr 0.0000 0.0000 0.0000 1
Au1 Au 0.0000 0.5000 0.5000 1
```

=====

Entry 3
Sr2ReAu | PBE | optimized geometry

Structure (CIF):
```
data_Sr2ReAu
_space_group_name_H-M_alt 'P 1'
_space_group_IT_number 1
_cell_length_a 3.6426
_cell_length_b 3.6426
_cell_length_c 8.8766
_cell_angle_alpha 90.00
_cell_angle_beta 90.00
_cell_angle_gamma 90.02
loop_
_space_group_symop_operation_xyz
'x,y,z'
loop_
_atom_site_label
_atom_site_type_symbol
_atom_site_fract_x
_atom_site_fract_y
_atom_site_fract_z
_atom_site_occupancy
Sr1 Sr 0.0000 0.0000 0.9190 1
Re1 Re 0.5000 0.5000 0.6739 1
Sr2 Sr 0.5000 0.5000 0.3365 1
Au1 Au 0.0000 0.0000 0.5705 1
```

=====

The least stable of them is entry 3.

=====

Entry 1
Sr2ReAu | PBE | optimized geometry

Structure (CIF):
```
data_Sr2ReAu
_space_group_name_H-M_alt 'P 1'
_space_group_IT_number 1
_cell_length_a 4.5540
_cell_length_b 4.5540
_cell_length_c 10.8241
_cell_angle_alpha 77.86
_cell_angle_beta 77.86
_cell_angle_gamma 90.00
loop_
_space_group_symop_operation_xyz
'x,y,z'
loop_
_atom_site_label
_atom_site_type_symbol
_atom_site_fract_x
_atom_site_fract_y
_atom_site_fract_z
_atom_site_occupancy
Au1 Au 0.7500 0.2500 0.5000 1
Re1 Re 0.2500 0.7500 0.5000 1
Au2 Au 0.0000 0.0000 0.0000 1
Sr1 Sr 0.1262 0.6250 0.2500 1
Sr2 Sr 0.8750 0.8738 0.7500 1
Sr3 Sr 0.3750 0.3762 0.7500 1
Sr4 Sr 0.6238 0.1250 0.2500 1
Re2 Re 0.5000 0.5000 0.0000 1
```

=====

Entry 2
Sr2ReAu | PBE | optimized geometry

Structure (CIF):
```
data_Sr2ReAu
_space_group_name_H-M_alt 'P 1'
_space_group_IT_number 1
_cell_length_a 6.6322
_cell_length_b 6.6322
_cell_length_c 6.6322
_cell_angle_alpha 149.78
_cell_angle_beta 132.82
_cell_angle_gamma 57.06
loop_
_space_group_symop_operation_xyz
'x,y,z'
loop_
_atom_site_label
_atom_site_type_symbol
_atom_site_fract_x
_atom_site_fract_y
_atom_site_fract_z
_atom_site_occupancy
Sr1 Sr 0.0250 0.0250 0.0000 1
Sr2 Sr 0.7272 0.2272 0.5000 1
Re1 Re 0.2852 0.7852 0.5000 1
Au1 Au 0.4626 0.4626 0.0000 1
```

=====

The least stable of them is entry 1.

=====

Entry 1
Sr2ReAu | PBE | optimized geometry

Structure (CIF):
```
data_Sr2ReAu
_space_group_name_H-M_alt 'P 1'
_space_group_IT_number 1
_cell_length_a 8.4014
_cell_length_b 8.4014
_cell_length_c 8.4014
_cell_angle_alpha 31.02
_cell_angle_beta 31.02
_cell_angle_gamma 31.02
loop_
_space_group_symop_operation_xyz
'x,y,z'
loop_
_atom_site_label
_atom_site_type_symbol
_atom_site_fract_x
_atom_site_fract_y
_atom_site_fract_z
_atom_site_occupancy
Sr1 Sr 0.2115 0.2115 0.2115 1
Au1 Au 0.4582 0.4582 0.4582 1
Sr2 Sr 0.0385 0.0385 0.0385 1
Re1 Re 0.7918 0.7918 0.7918 1
```

=====

Entry 2
Sr2ReAu | PBE | optimized geometry

Structure (CIF):
```
data_Sr2ReAu
_space_group_name_H-M_alt 'P 1'
_space_group_IT_number 1
_cell_length_a 3.7524
_cell_length_b 3.1565
_cell_length_c 9.1416
_cell_angle_alpha 69.76
_cell_angle_beta 90.00
_cell_angle_gamma 90.00
loop_
_space_group_symop_operation_xyz
'x,y,z'
loop_
_atom_site_label
_atom_site_type_symbol
_atom_site_fract_x
_atom_site_fract_y
_atom_site_fract_z
_atom_site_occupancy
Sr1 Sr 0.0000 0.4915 0.5081 1
Re1 Re 0.5000 0.7500 0.7500 1
Au1 Au 0.5000 0.2500 0.2500 1
Sr2 Sr 0.0000 0.0085 0.9919 1
```

=====

Entry 3
Sr2ReAu | PBE | optimized geometry

Structure (CIF):
```
data_Sr2ReAu
_space_group_name_H-M_alt 'P 1'
_space_group_IT_number 1
_cell_length_a 5.1877
_cell_length_b 5.1877
_cell_length_c 5.1877
_cell_angle_alpha 60.00
_cell_angle_beta 60.00
_cell_angle_gamma 60.00
loop_
_space_group_symop_operation_xyz
'x,y,z'
loop_
_atom_site_label
_atom_site_type_symbol
_atom_site_fract_x
_atom_site_fract_y
_atom_site_fract_z
_atom_site_occupancy
Au1 Au 0.5000 0.5000 0.5000 1
Sr1 Sr 0.2500 0.2500 0.2500 1
Re1 Re 0.7500 0.7500 0.7500 1
Sr2 Sr 0.0000 0.0000 0.0000 1
```

=====

The least stable of them is entry 3.

=====

Entry 1
Sr2ReAu | PBE | optimized geometry

Structure (CIF):
```
data_Sr2ReAu
_space_group_name_H-M_alt 'P 1'
_space_group_IT_number 1
_cell_length_a 9.7622
_cell_length_b 9.7622
_cell_length_c 9.7622
_cell_angle_alpha 21.19
_cell_angle_beta 21.19
_cell_angle_gamma 21.19
loop_
_space_group_symop_operation_xyz
'x,y,z'
loop_
_atom_site_label
_atom_site_type_symbol
_atom_site_fract_x
_atom_site_fract_y
_atom_site_fract_z
_atom_site_occupancy
Re1 Re 0.7500 0.7500 0.7500 1
Au1 Au 0.2500 0.2500 0.2500 1
Sr1 Sr 0.4980 0.4980 0.4980 1
Sr2 Sr 0.0020 0.0020 0.0020 1
```

=====

Entry 2
Sr2ReAu | PBE | optimized geometry

Structure (CIF):
```
data_Sr2ReAu
_space_group_name_H-M_alt 'P 1'
_space_group_IT_number 1
_cell_length_a 3.9167
_cell_length_b 3.9167
_cell_length_c 9.4144
_cell_angle_alpha 84.77
_cell_angle_beta 84.77
_cell_angle_gamma 46.31
loop_
_space_group_symop_operation_xyz
'x,y,z'
loop_
_atom_site_label
_atom_site_type_symbol
_atom_site_fract_x
_atom_site_fract_y
_atom_site_fract_z
_atom_site_occupancy
Sr1 Sr 0.9988 0.9988 0.0065 1
Sr2 Sr 0.5012 0.5012 0.4935 1
Re1 Re 0.2500 0.2500 0.2500 1
Au1 Au 0.7500 0.7500 0.7500 1
```

=====

The least stable of them is entry 1.